! Ce2HfO5, relaxed, DFT PBE; values from VASP
&SYSTEM
  ibrav = 0, nat = 32, ntyp = 3
/
ATOMIC_SPECIES
Ce 140.12 Ce.upf
Hf 178.49 Hf.upf
O 16.00 O.upf
CELL_PARAMETERS angstrom
9.895 0.000 0.000
0.000 6.776 0.000
0.000 0.000 6.169
ATOMIC_POSITIONS angstrom
Ce 1.707 0.017 0.176
Ce 1.707 3.372 0.176
Ce 3.240 3.405 3.261
Ce 3.240 6.760 3.261
Ce 6.654 0.017 2.908
Ce 6.654 3.372 2.908
Ce 8.187 3.405 5.993
Ce 8.187 6.760 5.993
Hf 0.041 1.694 3.425
Hf 4.907 5.082 0.341
Hf 4.988 1.694 5.828
Hf 9.854 5.082 2.744
O 0.057 1.694 5.740
O 0.851 3.573 4.048
O 0.851 6.592 4.048
O 1.787 1.694 2.139
O 1.979 5.082 2.014
O 2.968 1.694 5.099
O 3.160 5.082 5.224
O 4.097 0.184 0.964
O 4.097 3.204 0.964
O 4.890 5.082 2.656
O 5.004 1.694 3.514
O 5.798 3.573 5.206
O 5.798 6.592 5.206
O 6.734 1.694 0.945
O 6.927 5.082 1.071
O 7.915 1.694 4.155
O 8.108 5.082 4.030
O 9.044 0.184 2.121
O 9.044 3.204 2.121
O 9.837 5.082 0.429
! total energy: -9.206 eV/atom
! energy relative to the elements, uncorrected: -3.380 eV/atom
! total moment: 2.0 μB per formula unit
! crystal system: orthorhombic

---

! Rb2LiGaCl, relaxed, DFT PBE; values from VASP
&SYSTEM
  ibrav = 0, nat = 5, ntyp = 4
/
ATOMIC_SPECIES
Rb 85.47 Rb.upf
Li 6.94 Li.upf
Ga 69.72 Ga.upf
Cl 35.45 Cl.upf
CELL_PARAMETERS angstrom
6.500 0.000 0.000
0.000 6.500 0.000
0.000 0.000 4.949
ATOMIC_POSITIONS angstrom
Rb 0.000 3.250 0.000
Rb 3.250 0.000 0.000
Li 0.000 0.000 0.000
Ga 0.000 0.000 2.474
Cl 3.250 3.250 2.474
! total energy: -2.063 eV/atom
! energy relative to the elements, uncorrected: -0.319 eV/atom
! total moment: 0.5 μB per formula unit
! crystal system: tetragonal

---

no.,density (g/cm³),N(E_F) (states/eV/cell)
1,8.65,32.95
2,2.25,3.72